Record 1
A relaxed structure of HfPa3Tl2O12, computed with PBE. Values from VASP.

## Properties
E_form (uncorrected) ... -46.934 eV/f.u.

Cell and atoms, written as Quantum ESPRESSO input:
```
&SYSTEM
  ibrav = 0, nat = 18, ntyp = 4
/
ATOMIC_SPECIES
Hf 178.49 Hf.upf
Pa 231.04 Pa.upf
Tl 204.38 Tl.upf
O 16.00 O.upf
ATOMIC_POSITIONS angstrom
Hf 0.0000 0.0000 0.0000
Pa -4.0277 0.0000 9.5563
Pa -2.0138 1.1627 3.1854
Pa 2.0138 1.1627 3.1854
Tl 0.0000 0.0000 7.6857
Tl 0.0000 0.0000 11.4269
O 0.0000 -2.9477 5.1862
O -2.5528 1.4738 5.1862
O -2.4186 -1.3964 9.1359
O -2.5528 -1.4738 13.9264
O 0.0000 -2.7927 9.9767
O -2.4186 1.3964 9.9767
O 2.4186 -1.3964 9.1359
O 0.0000 2.7927 9.1359
O 2.5528 1.4738 5.1862
O 2.4186 1.3964 9.9767
O 2.5528 -1.4738 13.9264
O 0.0000 2.9477 13.9264
CELL_PARAMETERS angstrom
4.0277 2.3254 6.3709
-4.0277 2.3254 6.3709
0.0000 -4.6508 6.3709
```

Record 2
A relaxed structure of BePtAu2, computed with PBE. Values from VASP.

## Properties
E_form ... -0.063 eV/atom

Cell and atoms, written as Quantum ESPRESSO input:
```
&SYSTEM
  ibrav = 0, nat = 4, ntyp = 3
/
ATOMIC_SPECIES
Be 9.01 Be.upf
Pt 195.08 Pt.upf
Au 196.97 Au.upf
ATOMIC_POSITIONS angstrom
Be 0.0000 0.0000 0.0000
Pt 1.9489 1.9489 0.0000
Au 0.0000 1.9489 2.0281
Au 1.9489 0.0000 2.0281
CELL_PARAMETERS angstrom
3.8979 0.0000 0.0000
0.0000 3.8979 0.0000
0.0000 0.0000 4.0562
```

Record 3
A relaxed structure of Tc2Ge2Mo, computed with PBE. Values from VASP.

## Properties
E_form ... 0.059 eV/atom
Energy relative to the lowest polymorph listed for this composition ... 0.000 eV/atom

Cell and atoms, written as Quantum ESPRESSO input:
```
&SYSTEM
  ibrav = 0, nat = 10, ntyp = 3
/
ATOMIC_SPECIES
Tc 98.00 Tc.upf
Ge 72.64 Ge.upf
Mo 95.94 Mo.upf
ATOMIC_POSITIONS angstrom
Tc 1.0622 2.4591 0.0000
Tc 2.4591 5.9804 0.0000
Tc 4.5835 1.0622 0.0000
Tc 5.9804 4.5835 0.0000
Ge 1.0366 4.5579 1.5116
Ge 2.4847 1.0366 1.5116
Ge 4.5579 6.0059 1.5116
Ge 6.0059 2.4847 1.5116
Mo 0.0000 0.0000 1.5116
Mo 3.5213 3.5213 1.5116
CELL_PARAMETERS angstrom
7.0426 0.0000 0.0000
0.0000 7.0426 0.0000
0.0000 0.0000 3.0231
```

Record 4
A relaxed structure of Li2HgPbN, computed with PBE. Values from VASP.

## Properties
E_form (uncorrected) ... 0.627 eV/f.u.

Cell and atoms, written as Quantum ESPRESSO input:
```
&SYSTEM
  ibrav = 0, nat = 5, ntyp = 4
/
ATOMIC_SPECIES
Li 6.94 Li.upf
Hg 200.59 Hg.upf
Pb 207.20 Pb.upf
N 14.01 N.upf
ATOMIC_POSITIONS angstrom
Li 0.0000 2.1589 0.0000
Li 2.1589 0.0000 0.0000
Hg 0.0000 0.0000 2.3788
Pb 2.1589 2.1589 2.3788
N 0.0000 0.0000 0.0000
CELL_PARAMETERS angstrom
4.3178 0.0000 0.0000
0.0000 4.3178 0.0000
0.0000 0.0000 4.7576
```